# 1
# Pm4Dy3Sc, optimized geometry, DFT PBE
data_Pm4Dy3Sc
_space_group_name_H-M_alt 'P m n 21'
_space_group_IT_number 31
_space_group_name_Hall 'P 2ac -2'
_cell_length_a 11.414
_cell_length_b 7.250
_cell_length_c 6.249
_cell_angle_alpha 90.00
_cell_angle_beta 90.00
_cell_angle_gamma 90.00
loop_
_atom_site_label
_atom_site_type_symbol
_atom_site_fract_x
_atom_site_fract_y
_atom_site_fract_z
Pm1 Pm 0.000 0.128 0.000
Pm2 Pm 0.000 0.870 0.518
Pm3 Pm 0.243 0.130 0.348
Dy1 Dy 0.000 0.622 0.011
Dy2 Dy 0.250 0.380 0.841
Sc1 Sc 0.000 0.383 0.508
# E, Ry/atom: -0.357
# Total magnetic moment, μB per atom: 0.00
# ρ, g/cm³: 7.14
# DFT formation energy, meV per atom: 37
# Offset from the most stable computed form, eV/atom: 0.000

=====

# 2
# Pm2Dy2Sc3, optimized geometry, DFT PBE
data_Pm2Dy2Sc3
_space_group_name_H-M_alt 'I 21 3'
_space_group_IT_number 199
_space_group_name_Hall 'I 2b 2c 3'
_cell_length_a 9.384
_cell_length_b 9.384
_cell_length_c 9.384
_cell_angle_alpha 90.00
_cell_angle_beta 90.00
_cell_angle_gamma 90.00
loop_
_atom_site_label
_atom_site_type_symbol
_atom_site_fract_x
_atom_site_fract_y
_atom_site_fract_z
Pm1 Pm 0.163 0.337 0.663
Dy1 Dy 0.036 0.036 0.036
Sc1 Sc 0.000 0.250 0.293
# E, Ry/atom: -0.379
# Total magnetic moment, μB per atom: 0.00
# ρ, g/cm³: 6.03
# DFT formation energy, meV per atom: 223
# Offset from the most stable computed form, eV/atom: 0.056

=====

# 3
# Pm8Dy5Sc, optimized geometry, DFT PBE
data_Pm8Dy5Sc
_space_group_name_H-M_alt 'C 1 2 1'
_space_group_IT_number 5
_space_group_name_Hall 'C 2y'
_cell_length_a 15.465
_cell_length_b 8.348
_cell_length_c 8.548
_cell_angle_alpha 90.00
_cell_angle_beta 121.44
_cell_angle_gamma 90.00
loop_
_atom_site_label
_atom_site_type_symbol
_atom_site_fract_x
_atom_site_fract_y
_atom_site_fract_z
Pm1 Pm 0.125 0.000 0.182
Pm2 Pm 0.169 0.399 0.212
Pm3 Pm 0.185 0.708 0.923
Pm4 Pm 0.187 0.218 0.569
Dy1 Dy 0.000 0.952 0.500
Dy2 Dy 0.050 0.304 0.770
Dy3 Dy 0.104 0.622 0.467
Sc1 Sc 0.000 0.662 0.000
# E, Ry/atom: -0.340
# Total magnetic moment, μB per atom: 0.00
# ρ, g/cm³: 7.12
# DFT formation energy, meV per atom: 179